# Th6TcIr2Au3, relaxed, DFT PBE
# - Formation enthalpy at 0 K: -677 meV/atom
data_Th6TcIr2Au3
_chemical_formula_sum 'Th12 Tc2 Ir4 Au6'
_cell_length_a 18.810
_cell_length_b 4.123
_cell_length_c 8.713
_cell_angle_alpha 90.00
_cell_angle_beta 107.13
_cell_angle_gamma 90.00
_space_group_name_H-M_alt 'C 1 2/m 1'
_space_group_IT_number 12
loop_
_space_group_symop_operation_xyz
'x,y,z'
'-x,-y,-z'
'-x,y,-z'
'x,-y,z'
'x+1/2,y+1/2,z'
'-x+1/2,-y+1/2,-z'
'-x+1/2,y+1/2,-z'
'x+1/2,-y+1/2,z'
loop_
_atom_site_label
_atom_site_type_symbol
_atom_site_fract_x
_atom_site_fract_y
_atom_site_fract_z
_atom_site_occupancy
Th1 Th 0.004 0.000 0.228 1
Th2 Th 0.157 0.500 0.099 1
Th3 Th 0.173 0.500 0.569 1
Tc1 Tc 0.000 0.500 0.000 1
Ir1 Ir 0.167 0.000 0.337 1
Au1 Au 0.000 0.500 0.500 1
Au2 Au 0.170 0.000 0.836 1

***

# ZrTcIrAu2, relaxed, DFT PBE
# - Formation enthalpy at 0 K: 1809 meV/atom
data_ZrTcIrAu2
_chemical_formula_sum 'Zr1 Tc1 Ir1 Au2'
_cell_length_a 5.058
_cell_length_b 5.058
_cell_length_c 4.630
_cell_angle_alpha 90.00
_cell_angle_beta 90.00
_cell_angle_gamma 90.00
_space_group_name_H-M_alt 'P 4/m m m'
_space_group_IT_number 123
_space_group_name_Hall '-P 4 2'
loop_
_atom_site_label
_atom_site_type_symbol
_atom_site_fract_x
_atom_site_fract_y
_atom_site_fract_z
_atom_site_occupancy
Zr1 Zr 0.000 0.000 0.000 1
Tc1 Tc 0.000 0.000 0.500 1
Ir1 Ir 0.500 0.500 0.500 1
Au1 Au 0.000 0.500 0.000 1

***

# Te3IrAu, relaxed, DFT PBE
# - Raw formation energy: 67 kJ/mol of atoms
# - Energy above the most stable polymorph in this dataset: 0.000 eV per atom
data_Te3IrAu
_chemical_formula_sum 'Te3 Ir1 Au1'
_cell_length_a 5.244
_cell_length_b 5.244
_cell_length_c 5.244
_cell_angle_alpha 90.00
_cell_angle_beta 90.00
_cell_angle_gamma 90.00
_space_group_name_H-M_alt 'P m -3 m'
_space_group_IT_number 221
_space_group_name_Hall '-P 4 2 3'
loop_
_atom_site_label
_atom_site_type_symbol
_atom_site_fract_x
_atom_site_fract_y
_atom_site_fract_z
_atom_site_occupancy
Te1 Te 0.000 0.000 0.500 1
Ir1 Ir 0.000 0.000 0.000 1
Au1 Au 0.500 0.500 0.500 1

***

# TeIr4Au, relaxed, DFT PBE
# - Raw formation energy: 58 kJ/mol of atoms
data_TeIr4Au
_chemical_formula_sum 'Te4 Ir16 Au4'
_cell_length_a 7.482
_cell_length_b 7.482
_cell_length_c 7.482
_cell_angle_alpha 90.00
_cell_angle_beta 90.00
_cell_angle_gamma 90.00
_space_group_name_H-M_alt 'F -4 3 m'
_space_group_IT_number 216
_space_group_name_Hall 'F -4 2 3'
loop_
_atom_site_label
_atom_site_type_symbol
_atom_site_fract_x
_atom_site_fract_y
_atom_site_fract_z
_atom_site_occupancy
Te1 Te 0.000 0.000 0.000 1
Ir1 Ir 0.125 0.125 0.375 1
Au1 Au 0.250 0.250 0.750 1